Computed, not measured: a relaxed structure of Na3Ga2Ge4 at the PBE level of DFT.

The energy above the lowest structure with this stoichiometry comes out at 1.10 eV per formula unit. The value obtained for the formation energy is -0.004 eV/atom. The total energy is -3.1688 eV per atom.

The structure belongs to space group C2/m (No. 12); the cell edges are 15.1457, 4.6062 and 6.0099 Å and the angles 90.00°, 98.43° and 90.00°. The inequivalent atoms are Na at (0.0000, 0.0000, 0.0000), Na at (0.1391, 0.0000, 0.5847), Ga at (0.1286, 0.5000, 0.0063), Ge at (0.0111, 0.5000, 0.3026) and Ge at (0.2176, 0.0000, 0.1406).


Computed, not measured: a relaxed structure of MgCdW2 at the PBE level of DFT.

The energy above the lowest structure with this stoichiometry comes out at 0.78 eV per formula unit. The value obtained for the formation energy is 0.483 eV/atom. The total energy is -6.6209 eV per atom.

The structure belongs to space group Cm (No. 8); the cell edges are 9.4890, 2.7545 and 5.4171 Å and the angles 90.00°, 94.20° and 90.00°. The inequivalent atoms are Mg at (0.0000, 0.0000, 0.0000), Cd at (0.2529, 0.5000, 0.2278), W at (0.2496, 0.0000, 0.7221) and W at (0.4969, 0.0000, 0.5220).


Computed, not measured: a relaxed structure of VHOsRh2 at the PBE level of DFT.

The energy above the lowest structure with this stoichiometry comes out at 0.02 eV per formula unit. The total energy is -7.8250 eV per atom.

The structure belongs to space group P4/mmm (No. 123); the cell edges are 3.8335, 3.8335 and 3.9522 Å and the angles 90.00°, 90.00° and 90.00°. The inequivalent atoms are V at (0.0000, 0.0000, 0.0000), H at (0.5000, 0.5000, 0.5000), Os at (0.5000, 0.5000, 0.0000) and Rh at (0.0000, 0.5000, 0.5000).


Computed, not measured: a relaxed structure of Pm12SmDy2 at the PBE level of DFT.

The value obtained for the formation energy is 0.312 eV/atom. The total energy is -4.4163 eV per atom.

The structure belongs to space group P4/nbm (No. 125, origin choice 2); the cell edges are 6.5220, 6.5220 and 25.4748 Å and the angles 90.00°, 90.00° and 90.00°. The inequivalent atoms are Pm at (0.0668, 0.5668, 0.1154), Pm at (0.0822, 0.5822, 0.4379), Pm at (0.2500, 0.2500, 0.2162), Pm at (0.2500, 0.2500, 0.3379), Sm at (0.2500, 0.7500, 0.0000) and Dy at (0.2500, 0.7500, 0.2733).


Number 1: total magnetization 0.0 μB per formula unit. Number 2: total magnetization 0.0 μB per formula unit. Number 3: total magnetization 0.0 μB per formula unit. Number 4: total magnetization 0.0 μB per formula unit.